RbMnHgF6: relaxed, PBE with a Hubbard U.

POSCAR file:
```
RbMnHgF6
1.0
5.750 0.000 0.000
0.002 5.836 0.000
0.002 2.905 5.069
Rb Mn Hg F
1 1 1 6
direct
0.000 0.000 0.000
0.500 0.667 0.667
0.500 0.331 0.333
0.308 0.405 0.945
0.310 0.947 0.649
0.312 0.651 0.398
0.688 0.399 0.653
0.690 0.648 0.951
0.693 0.944 0.408
```

Output
The space group is P1. The calculation puts the spin magnetization at 2.0 μB per formula unit. The calculation puts the calculated total energy at -4.313 eV/atom.